[1]
Computed, not measured: crystalline BaIn2Ag at its relaxed geometry at the PBE-GGA level of DFT.

Properties
**Magnetization**: 0.000 Bohr magnetons per cell
**E_tot**: -2.8707 eV/atom
**Crystal system**: trigonal
**Space-group type**: R3m (160)

Cell: 6.795 6.795 6.795 Å, 41.99 41.99 41.99°
Fractional coordinates of all 4 atoms:
1 Ba 0.000 0.000 0.000
2 In 0.538 0.538 0.538
3 In 0.790 0.790 0.790
4 Ag 0.189 0.189 0.189

[2]
Computed, not measured: crystalline Ba2In12Ag7 at its relaxed geometry at the PBE-GGA level of DFT.

Properties
**Magnetization**: 0.000 Bohr magnetons per cell
**E_tot**: -2.8612 eV/atom
**Crystal system**: hexagonal
**Space-group type**: P-6 (174)

Cell: 11.417 11.417 4.723 Å, 90.00 90.00 120.00°
Fractional coordinates of all 21 atoms:
1 Ba 0.000 0.000 0.000
2 Ba 0.333 0.667 0.500
3 In 0.034 0.280 0.500
4 In 0.121 0.730 0.000
5 In 0.246 0.966 0.500
6 In 0.270 0.391 0.000
7 In 0.380 0.190 0.000
8 In 0.547 0.425 0.500
9 In 0.575 0.123 0.500
10 In 0.609 0.879 0.000
11 In 0.720 0.754 0.500
12 In 0.810 0.190 0.000
13 In 0.810 0.620 0.000
14 In 0.877 0.453 0.500
15 Ag 0.055 0.454 0.000
16 Ag 0.251 0.227 0.500
17 Ag 0.398 0.945 0.000
18 Ag 0.546 0.602 0.000
19 Ag 0.667 0.333 0.000
20 Ag 0.773 0.024 0.500
21 Ag 0.976 0.749 0.500

[3]
Computed, not measured: crystalline BaIn2Ag5 at its relaxed geometry at the PBE-GGA level of DFT.

Properties
**Magnetization**: 0.000 Bohr magnetons per cell
**E_tot**: -2.8330 eV/atom
**Crystal system**: orthorhombic
**Space-group type**: Immm (71)

Cell: 7.266 7.266 7.266 Å, 143.72 117.55 74.42°
Fractional coordinates of all 8 atoms:
1 Ba 0.000 0.000 0.000
2 In 0.255 0.755 0.500
3 In 0.745 0.245 0.500
4 Ag 0.189 0.374 0.815
5 Ag 0.441 0.626 0.815
6 Ag 0.500 0.000 0.500
7 Ag 0.559 0.374 0.185
8 Ag 0.811 0.626 0.185

[4]
Computed, not measured: crystalline BaIn2Ag at its relaxed geometry at the PBE-GGA level of DFT.

Properties
**Magnetization**: 0.000 Bohr magnetons per cell
**E_tot**: -2.8113 eV/atom
**Crystal system**: monoclinic
**Space-group type**: P2/m (10)

Cell: 5.115 4.942 5.222 Å, 90.00 107.67 90.00°
Fractional coordinates of all 4 atoms:
1 Ba 0.000 0.000 0.000
2 In 0.320 0.500 0.679
3 In 0.680 0.500 0.321
4 Ag 0.500 0.000 0.500

[5]
Computed, not measured: crystalline Ba3In2Ag7 at its relaxed geometry at the PBE-GGA level of DFT.

Properties
**Magnetization**: 0.000 Bohr magnetons per cell
**E_tot**: -2.7915 eV/atom
**Crystal system**: trigonal
**Space-group type**: R-3m (166)

Cell: 10.187 10.187 10.187 Å, 35.30 35.30 35.30°
Fractional coordinates of all 12 atoms:
1 Ba 0.000 0.000 0.000
2 Ba 0.145 0.145 0.145
3 Ba 0.855 0.855 0.855
4 In 0.329 0.329 0.329
5 In 0.671 0.671 0.671
6 Ag 0.091 0.578 0.578
7 Ag 0.422 0.422 0.909
8 Ag 0.422 0.909 0.422
9 Ag 0.500 0.500 0.500
10 Ag 0.578 0.091 0.578
11 Ag 0.578 0.578 0.091
12 Ag 0.909 0.422 0.422

[6]
Computed, not measured: crystalline BaIn2Ag at its relaxed geometry at the PBE-GGA level of DFT.

Properties
**Magnetization**: 0.000 Bohr magnetons per cell
**E_tot**: -2.6939 eV/atom
**Crystal system**: orthorhombic
**Space-group type**: Pmmm (47)

Cell: 4.577 4.915 5.368 Å, 90.00 90.00 90.00°
Fractional coordinates of all 4 atoms:
1 Ba 0.000 0.000 0.000
2 In 0.000 0.500 0.500
3 In 0.500 0.000 0.500
4 Ag 0.500 0.500 0.000

[7]
Computed, not measured: crystalline Ba4In3Ag at its relaxed geometry at the PBE-GGA level of DFT.

Properties
**Magnetization**: 0.000 Bohr magnetons per cell
**E_tot**: -2.6945 eV/atom
**Crystal system**: tetragonal
**Space-group type**: P4/mmm (123)

Cell: 4.230 4.230 17.045 Å, 90.00 90.00 90.00°
Fractional coordinates of all 8 atoms:
1 Ba 0.000 0.000 0.122
2 Ba 0.000 0.000 0.374
3 Ba 0.000 0.000 0.626
4 Ba 0.000 0.000 0.878
5 In 0.500 0.500 0.249
6 In 0.500 0.500 0.500
7 In 0.500 0.500 0.751
8 Ag 0.500 0.500 0.000

[8]
Computed, not measured: crystalline Ba3In2Ag at its relaxed geometry at the PBE-GGA level of DFT.

Properties
**Magnetization**: 0.000 Bohr magnetons per cell
**E_tot**: -2.7031 eV/atom
**Crystal system**: orthorhombic
**Space-group type**: Cmmm (65)

Cell: 9.452 9.452 4.241 Å, 90.00 90.00 143.63°
Fractional coordinates of all 6 atoms:
1 Ba 0.000 0.000 0.000
2 Ba 0.343 0.657 0.000
3 Ba 0.657 0.343 0.000
4 In 0.181 0.819 0.500
5 In 0.819 0.181 0.500
6 Ag 0.500 0.500 0.500